VASP calculation (PBE) on crystalline Ho5Bi4Os at its relaxed geometry.

Calculated values
Its space-group type is I4, No. 79. The energy comes out at -5.514 eV/atom. Its formation energy is -0.550 eV/atom.

Unit cell a=6.256 b=7.557 c=7.557 alpha=80.14 beta=65.55 gamma=65.55
Fractional coordinates of all 10 atoms:
Os1 0.945 0.000 0.000
Bi1 0.824 0.785 0.614
Ho1 0.755 0.173 0.358
Ho2 0.113 0.642 0.173
Bi2 0.222 0.215 0.386
Ho3 0.928 0.358 0.827
Ho4 0.286 0.827 0.642
Bi3 0.438 0.386 0.785
Ho5 0.390 0.000 0.000
Bi4 0.609 0.614 0.215

***

VASP calculation (PBE) on crystalline Ho8Bi2P at its relaxed geometry.

Calculated values
Its space-group type is C2/m, No. 12. The energy comes out at -5.062 eV/atom. Its formation energy is -0.535 eV/atom.

Unit cell a=4.065 b=8.862 c=9.249 alpha=95.40 beta=102.69 gamma=90.00
Fractional coordinates of all 11 atoms:
Ho1 0.794 0.638 0.588
Ho2 0.409 0.462 0.818
P1 0.500 0.000 0.000
Ho3 0.591 0.538 0.182
Bi1 0.822 0.227 0.643
Ho4 0.988 0.784 0.976
Ho5 0.206 0.362 0.412
Ho6 0.012 0.216 0.024
Bi2 0.178 0.773 0.357
Ho7 0.348 0.968 0.696
Ho8 0.652 0.032 0.304

***

VASP calculation (PBE) on crystalline Ho4Bi3P at its relaxed geometry.

Calculated values
Its space-group type is Cmmm, No. 65. The energy comes out at -5.390 eV/atom. Its formation energy is -0.969 eV/atom.

Unit cell a=4.307 b=7.547 c=7.547 alpha=109.04 beta=90.00 gamma=90.00
Fractional coordinates of all 8 atoms:
Ho1 0.500 0.763 0.237
Ho2 0.500 0.237 0.763
Ho3 0.000 0.228 0.228
Bi1 0.000 0.500 0.000
Bi2 0.500 0.500 0.500
Ho4 0.000 0.772 0.772
Bi3 0.000 0.000 0.500
P1 0.500 0.000 0.000

***

VASP calculation (PBE) on crystalline Ho5BiP4 at its relaxed geometry.

Calculated values
Its space-group type is C2/m, No. 12. The energy comes out at -6.258 eV/atom. Its formation energy is -1.417 eV/atom.

Unit cell a=4.021 b=7.094 c=9.168 alpha=75.73 beta=77.33 gamma=73.53
Fractional coordinates of all 10 atoms:
Bi1 0.000 0.000 0.000
Ho1 0.792 0.097 0.318
P1 0.597 0.205 0.601
Ho2 0.000 0.500 0.500
P2 0.403 0.795 0.399
Ho3 0.208 0.903 0.682
P3 0.797 0.613 0.794
P4 0.203 0.387 0.206
Ho4 0.611 0.661 0.116
Ho5 0.389 0.339 0.884